TcWSe2 after structural relaxation. Source: Alexandria via LeMat-Bulk, functional PBE-GGA. Values from VASP.

V = 15.4 Å³/atom
Calculated total energy = -7.248 eV per atom
Theoretical density = 11.84 g/cm³
N(E_F) = 2.67 states/eV per cell

Structure (Quantum ESPRESSO input):
```
&SYSTEM
  ibrav = 0, nat = 4, ntyp = 3
/
ATOMIC_SPECIES
Tc 98.00 Tc.upf
W 183.84 W.upf
Se 78.96 Se.upf
CELL_PARAMETERS angstrom
0.000 3.136 3.136
3.136 0.000 3.136
3.136 3.136 0.000
ATOMIC_POSITIONS crystal
Tc 0.000 0.000 0.000
W 0.500 0.500 0.500
Se 0.250 0.250 0.250
Se 0.750 0.750 0.750
```